Entry 1:
GaCoTe2 | the Open Quantum Materials Database | PBE | optimized geometry; raw total energy = -0.126 Ha/atom; mass density = 7.6 g/cm³; SG = F-43m, No. 216; magnetization = 0.00 μB per formula unit
1.0
0.000 3.477 3.477
3.477 0.000 3.477
3.477 3.477 0.000
Ga Co Te
1 1 2
direct
0.000 0.000 0.000
0.250 0.250 0.250
0.500 0.500 0.500
0.750 0.750 0.750


Entry 2:
Hf2CuNi | the Open Quantum Materials Database | PBE | optimized geometry; mass density = 12.4 g/cm³; SG = F-43m, No. 216; magnetization = 1.00 μB per formula unit; energy of formation = 0.130 eV per atom
1.0
0.000 3.179 3.179
3.179 0.000 3.179
3.179 3.179 0.000
Hf Cu Ni
2 1 1
direct
0.000 0.000 0.000
0.250 0.250 0.250
0.500 0.500 0.500
0.750 0.750 0.750


Entry 3:
CdTePdO | the Open Quantum Materials Database | PBE | optimized geometry; raw total energy = -0.149 Ha/atom; mass density = 8.1 g/cm³; SG = Pca2_1, No. 29
1.0
6.365 0.000 0.000
0.000 7.463 0.000
0.000 0.000 6.252
Cd Te Pd O
4 4 4 4
direct
0.082 0.086 0.000
0.418 0.086 0.500
0.582 0.914 0.000
0.918 0.914 0.500
0.091 0.372 0.528
0.409 0.372 0.028
0.591 0.628 0.528
0.909 0.628 0.028
0.231 0.652 0.308
0.269 0.652 0.808
0.731 0.348 0.308
0.769 0.348 0.808
0.190 0.930 0.716
0.310 0.930 0.216
0.690 0.070 0.716
0.810 0.070 0.216


Entry 4:
YAl2Os2 | the Open Quantum Materials Database | PBE | optimized geometry; raw total energy = -0.275 Ha/atom; mass density = 9.6 g/cm³; SG = I4/mmm, No. 139; magnetization = 0.14 μB per formula unit
1.0
-2.062 2.062 5.342
2.062 -2.062 5.342
2.062 2.062 -5.342
Y Al Os
1 2 2
direct
0.000 0.000 0.000
0.380 0.380 0.000
0.620 0.620 0.000
0.250 0.750 0.500
0.750 0.250 0.500


Entry 5:
Al2TcPd | the Open Quantum Materials Database | PBE | optimized geometry; raw total energy = -0.218 Ha/atom; mass density = 7.2 g/cm³; SG = F-43m, No. 216; magnetization = 0.02 μB per formula unit
1.0
0.000 3.100 3.100
3.100 0.000 3.100
3.100 3.100 0.000
Al Tc Pd
2 1 1
direct
0.000 0.000 0.000
0.250 0.250 0.250
0.750 0.750 0.750
0.500 0.500 0.500


Entry 6:
Gd3Tl2Pb5 | the Open Quantum Materials Database | PBE | optimized geometry; raw total energy = -0.149 Ha/atom; mass density = 11.2 g/cm³; SG = Cmmm, No. 65; magnetization = 0.01 μB per formula unit
1.0
2.367 -12.515 0.000
2.367 12.515 0.000
0.000 0.000 4.794
Gd Tl Pb
3 2 5
direct
0.000 0.000 0.000
0.192 0.808 0.000
0.808 0.192 0.000
0.293 0.707 0.500
0.707 0.293 0.500
0.101 0.899 0.500
0.400 0.600 0.000
0.500 0.500 0.500
0.600 0.400 0.000
0.899 0.101 0.500


Entry 7:
Pr2YMg3Tl2Zn | the Open Quantum Materials Database | PBE | optimized geometry; raw total energy = -0.121 Ha/atom; mass density = 6.5 g/cm³; SG = Amm2, No. 38; magnetization = 0.00 μB per formula unit
1.0
4.679 0.000 0.000
0.000 6.537 3.847
0.000 -6.537 3.847
Pr Y Mg Tl Zn
2 1 3 2 1
direct
0.000 0.205 0.795
0.000 0.795 0.205
0.000 0.614 0.614
0.500 0.208 0.442
0.500 0.442 0.208
0.500 0.974 0.974
0.500 0.542 0.867
0.500 0.867 0.542
0.000 0.215 0.215


Entry 8:
TbAgSnS3 | the Open Quantum Materials Database | PBE | optimized geometry; raw total energy = -0.183 Ha/atom; mass density = 5.6 g/cm³; SG = Pnma, No. 62; magnetization = 0.00 μB per formula unit
1.0
8.501 0.000 0.000
0.000 4.026 0.000
0.000 0.000 16.615
Tb Ag Sn S
4 4 4 12
direct
0.185 0.250 0.059
0.315 0.750 0.559
0.685 0.250 0.441
0.815 0.750 0.941
0.096 0.250 0.390
0.404 0.750 0.890
0.596 0.250 0.110
0.904 0.750 0.610
0.159 0.250 0.759
0.341 0.750 0.259
0.659 0.250 0.741
0.841 0.750 0.241
0.096 0.250 0.603
0.134 0.250 0.223
0.135 0.750 0.949
0.365 0.250 0.449
0.366 0.750 0.723
0.404 0.750 0.103
0.596 0.250 0.897
0.634 0.250 0.277
0.635 0.750 0.551
0.865 0.250 0.051
0.866 0.750 0.777
0.904 0.750 0.397


Entry 9:
Tb2SmCo2B2N3 | the Open Quantum Materials Database | PBE | optimized geometry; raw total energy = -0.287 Ha/atom; mass density = 8.7 g/cm³; SG = I4/mmm, No. 139; magnetization = 0.02 μB per formula unit
1.0
-1.758 1.758 10.009
1.758 -1.758 10.009
1.758 1.758 -10.009
Tb Sm Co B N
2 1 2 2 3
direct
0.126 0.126 0.000
0.874 0.874 0.000
0.500 0.500 0.000
0.250 0.750 0.500
0.750 0.250 0.500
0.305 0.305 0.000
0.695 0.695 0.000
0.000 0.000 0.000
0.380 0.380 0.000
0.620 0.620 0.000


Entry 10:
TaBeAlCu | the Open Quantum Materials Database | PBE | optimized geometry; raw total energy = -0.207 Ha/atom; mass density = 8.7 g/cm³; SG = F-43m, No. 216; magnetization = 0.08 μB per formula unit
1.0
0.000 2.993 2.993
2.993 0.000 2.993
2.993 2.993 0.000
Ta Be Al Cu
1 1 1 1
direct
0.000 0.000 0.000
0.250 0.250 0.250
0.500 0.500 0.500
0.750 0.750 0.750


Entry 11:
NdCdInSe3 | the Open Quantum Materials Database | PBE | optimized geometry; raw total energy = -0.153 Ha/atom; mass density = 5.7 g/cm³; SG = Cmcm, No. 63; magnetization = 0.00 μB per formula unit
1.0
2.160 -7.235 0.000
2.160 7.235 0.000
0.000 0.000 11.371
Nd Cd In Se
2 2 2 6
direct
0.000 0.000 0.000
0.000 0.000 0.500
0.462 0.538 0.750
0.538 0.462 0.250
0.250 0.750 0.250
0.750 0.250 0.750
0.077 0.923 0.750
0.364 0.636 0.555
0.364 0.636 0.945
0.636 0.364 0.055
0.636 0.364 0.445
0.923 0.077 0.250


Entry 12:
SmHfNi2 | the Open Quantum Materials Database | PBE | optimized geometry; mass density = 10.1 g/cm³; SG = Amm2, No. 38; magnetization = 0.00 μB per formula unit; energy of formation = -0.359 eV per atom
1.0
4.234 0.000 0.000
0.000 1.729 5.009
0.000 -1.729 5.009
Sm Hf Ni
1 1 2
direct
0.000 0.000 0.000
0.500 0.723 0.723
0.000 0.272 0.272
0.500 0.426 0.426


Entry 13:
Sm3Al3SiPd2 | the Open Quantum Materials Database | PBE | optimized geometry; raw total energy = -0.194 Ha/atom; mass density = 6.8 g/cm³; SG = P-62m, No. 189; magnetization = 0.02 μB per formula unit
1.0
7.477 0.000 0.000
-3.738 6.475 0.000
0.000 0.000 3.877
Sm Al Si Pd
3 3 1 2
direct
0.000 0.598 0.000
0.402 0.402 0.000
0.598 0.000 0.000
0.000 0.248 0.500
0.248 0.000 0.500
0.752 0.752 0.500
0.000 0.000 0.000
0.333 0.667 0.500
0.667 0.333 0.500


Entry 14:
RbPrSO | the Open Quantum Materials Database | PBE | optimized geometry; raw total energy = -0.207 Ha/atom; mass density = 4.9 g/cm³; SG = P4/nmm, No. 129; magnetization = 0.00 μB per formula unit
1.0
4.277 0.000 0.000
0.000 4.277 0.000
0.000 0.000 10.123
Rb Pr S O
2 2 2 2
direct
0.250 0.750 0.000
0.750 0.250 0.000
0.250 0.250 0.393
0.750 0.750 0.607
0.250 0.250 0.773
0.750 0.750 0.227
0.250 0.750 0.500
0.750 0.250 0.500


Entry 15:
HfCoB | the Open Quantum Materials Database | PBE | optimized geometry; raw total energy = -0.264 Ha/atom; mass density = 9.1 g/cm³; SG = F-43m, No. 216; magnetization = 0.02 μB per formula unit
1.0
0.000 2.832 2.832
2.832 0.000 2.832
2.832 2.832 0.000
Hf Co B
1 1 1
direct
0.000 0.000 0.000
0.250 0.250 0.250
0.750 0.750 0.750


Entry 16:
Tl2CuSbF6 | the Open Quantum Materials Database | PBE | optimized geometry; raw total energy = -0.152 Ha/atom; mass density = 7.5 g/cm³; SG = Fm-3m, No. 225
1.0
0.000 4.279 4.279
4.279 0.000 4.279
4.279 4.279 0.000
Tl Cu Sb F
2 1 1 6
direct
0.250 0.250 0.250
0.750 0.750 0.750
0.000 0.000 0.000
0.500 0.500 0.500
0.245 0.245 0.755
0.245 0.755 0.245
0.245 0.755 0.755
0.755 0.245 0.245
0.755 0.245 0.755
0.755 0.755 0.245


Entry 17:
HoErAl3Si2 | the Open Quantum Materials Database | PBE | optimized geometry; raw total energy = -0.184 Ha/atom; mass density = 5.9 g/cm³; SG = Cm, No. 8; magnetization = 0.00 μB per formula unit
1.0
5.058 -2.016 0.000
5.058 2.016 0.000
-1.241 0.000 6.471
Ho Er Al Si
1 1 3 2
direct
0.000 0.000 0.000
0.239 0.239 0.645
0.315 0.315 0.190
0.620 0.620 0.323
0.924 0.924 0.456
0.526 0.526 0.682
0.713 0.713 0.962


Entry 18:
Li4MgGe2Pt | the Open Quantum Materials Database | PBE | optimized geometry; raw total energy = -0.129 Ha/atom; mass density = 5.4 g/cm³; SG = P-4m2, No. 115; magnetization = 0.00 μB per formula unit
1.0
4.382 0.000 0.000
0.000 4.382 0.000
0.000 0.000 6.310
Li Mg Ge Pt
4 1 2 1
direct
0.000 0.000 0.000
0.000 0.500 0.724
0.500 0.000 0.276
0.500 0.500 0.500
0.500 0.500 0.000
0.000 0.500 0.270
0.500 0.000 0.730
0.000 0.000 0.500


Entry 19:
BeZn2Cu5 | the Open Quantum Materials Database | PBE | optimized geometry; raw total energy = -0.115 Ha/atom; mass density = 8.1 g/cm³; SG = P4/mmm, No. 123
1.0
4.040 0.000 0.000
0.000 4.040 0.000
0.000 0.000 5.760
Be Zn Cu
1 2 5
direct
0.000 0.000 0.000
0.000 0.000 0.500
0.500 0.500 0.000
0.000 0.500 0.238
0.000 0.500 0.762
0.500 0.000 0.238
0.500 0.000 0.762
0.500 0.500 0.500


Entry 20:
HoCl2 | the Open Quantum Materials Database | PBE | optimized geometry; raw total energy = -0.113 Ha/atom; mass density = 5.5 g/cm³; SG = Fd-3m, No. 227; magnetization = 0.93 μB per formula unit
1.0
0.000 4.151 4.151
4.151 0.000 4.151
4.151 4.151 0.000
Ho Cl
2 4
direct
0.125 0.125 0.125
0.875 0.875 0.875
0.000 0.500 0.500
0.500 0.000 0.500
0.500 0.500 0.000
0.500 0.500 0.500